(1)
# GGA-PBE MnCr3, optimized geometry
# * mass density: 7.5 Mg/m³
data_MnCr3
_chemical_formula_sum 'Mn1 Cr3'
_symmetry_space_group_name_H-M 'P m m 2'
_symmetry_Int_Tables_number 25
_cell_length_a 2.302
_cell_length_b 4.206
_cell_length_c 4.793
_cell_angle_alpha 90.00
_cell_angle_beta 90.00
_cell_angle_gamma 90.00
loop_
_symmetry_equiv_pos_as_xyz
'x,y,z'
'-x,-y,z'
'-x,y,z'
'x,-y,z'
loop_
_atom_site_label
_atom_site_fract_x
_atom_site_fract_y
_atom_site_fract_z
Mn1 0.000 0.000 0.000
Cr1 0.000 0.500 0.285
Cr2 0.500 0.000 0.501
Cr3 0.500 0.500 0.788



(2)
# GGA-PBE MnCr3, optimized geometry
# * mass density: 7.6 Mg/m³
data_MnCr3
_chemical_formula_sum 'Mn3 Cr9'
_symmetry_space_group_name_H-M 'R -3 m'
_symmetry_Int_Tables_number 166
_symmetry_space_group_name_Hall '-R 3 2"'
_cell_length_a 2.5251
_cell_length_b 2.5251
_cell_length_c 25.1859
_cell_angle_alpha 90.00
_cell_angle_beta 90.00
_cell_angle_gamma 120.00
loop_
_atom_site_label
_atom_site_fract_x
_atom_site_fract_y
_atom_site_fract_z
Mn1 0.0000 0.0000 0.0000
Cr1 0.0000 0.0000 0.2530
Cr2 0.0000 0.0000 0.5000



(3)
# GGA-PBE MnCr2, optimized geometry
# * mass density: 7.8 Mg/m³
data_MnCr2
_chemical_formula_sum 'Mn4 Cr8'
_symmetry_space_group_name_H-M 'C m c m'
_symmetry_Int_Tables_number 63
_symmetry_space_group_name_Hall '-C 2c 2'
_cell_length_a 2.826
_cell_length_b 11.963
_cell_length_c 4.013
_cell_angle_alpha 90.00
_cell_angle_beta 90.00
_cell_angle_gamma 90.00
loop_
_atom_site_label
_atom_site_fract_x
_atom_site_fract_y
_atom_site_fract_z
Mn1 0.000 0.081 0.250
Cr1 0.000 0.247 0.750
Cr2 0.000 0.415 0.250



(4)
# GGA-PBE Mn2Cr, optimized geometry
# * mass density: 8.1 Mg/m³
data_Mn2Cr
_chemical_formula_sum 'Mn8 Cr4'
_symmetry_space_group_name_H-M 'C m c m'
_symmetry_Int_Tables_number 63
_symmetry_space_group_name_Hall '-C 2c 2'
_cell_length_a 3.936
_cell_length_b 12.069
_cell_length_c 2.800
_cell_angle_alpha 90.00
_cell_angle_beta 90.00
_cell_angle_gamma 90.00
loop_
_atom_site_label
_atom_site_fract_x
_atom_site_fract_y
_atom_site_fract_z
Mn1 0.000 0.082 0.250
Mn2 0.000 0.264 0.750
Cr1 0.000 0.415 0.250



(5)
# GGA-PBE MnCr3, optimized geometry
# * mass density: 7.5 Mg/m³
data_MnCr3
_chemical_formula_sum 'Mn1 Cr3'
_symmetry_space_group_name_H-M 'P -6 m 2'
_symmetry_Int_Tables_number 187
_symmetry_space_group_name_Hall 'P -6 2'
_cell_length_a 2.4892
_cell_length_b 2.4892
_cell_length_c 8.6902
_cell_angle_alpha 90.00
_cell_angle_beta 90.00
_cell_angle_gamma 120.00
loop_
_atom_site_label
_atom_site_fract_x
_atom_site_fract_y
_atom_site_fract_z
Mn1 0.0000 0.0000 0.0000
Cr1 0.0000 0.0000 0.5000
Cr2 0.6667 0.3333 0.2438



(6)
# GGA-PBE MnCr3, optimized geometry
# * mass density: 7.5 Mg/m³
data_MnCr3
_chemical_formula_sum 'Mn2 Cr6'
_symmetry_space_group_name_H-M 'P m m n'
_symmetry_Int_Tables_number 59
_cell_length_a 4.171
_cell_length_b 4.628
_cell_length_c 4.817
_cell_angle_alpha 90.00
_cell_angle_beta 90.00
_cell_angle_gamma 90.00
loop_
_symmetry_equiv_pos_as_xyz
'x,y,z'
'-x,-y,-z'
'-x+1/2,-y+1/2,z'
'x+1/2,y+1/2,-z'
'x+1/2,-y,-z'
'-x+1/2,y,z'
'-x,y+1/2,-z'
'x,-y+1/2,z'
loop_
_atom_site_label
_atom_site_fract_x
_atom_site_fract_y
_atom_site_fract_z
Mn1 0.250 0.250 0.152
Cr1 0.250 0.015 0.640
Cr2 0.250 0.750 0.123



(7)
# GGA-PBE MnCr2, optimized geometry
# * mass density: 7.5 Mg/m³
data_MnCr2
_chemical_formula_sum 'Mn4 Cr8'
_symmetry_space_group_name_H-M 'I 41/a m d'
_symmetry_Int_Tables_number 141
_cell_length_a 2.500
_cell_length_b 2.500
_cell_length_c 22.621
_cell_angle_alpha 90.00
_cell_angle_beta 90.00
_cell_angle_gamma 90.00
loop_
_symmetry_equiv_pos_as_xyz
'x,y,z'
'-x,-y,-z'
'-y+1/4,x+3/4,z+1/4'
'y+1/4,-x+3/4,-z+1/4'
'-x+1/2,-y,z+1/2'
'x+1/2,y,-z+1/2'
'y+1/4,-x+1/4,z+3/4'
'-y+1/4,x+1/4,-z+3/4'
'x,-y,-z'
'-x,y,z'
'-y+1/4,-x+1/4,-z+3/4'
'y+1/4,x+1/4,z+3/4'
'-x+1/2,y,-z+1/2'
'x+1/2,-y,z+1/2'
'y+1/4,x+3/4,-z+1/4'
'-y+1/4,-x+3/4,z+1/4'
'x+1/2,y+1/2,z+1/2'
'-x+1/2,-y+1/2,-z+1/2'
'-y+3/4,x+1/4,z+3/4'
'y+3/4,-x+1/4,-z+3/4'
'-x,-y+1/2,z'
'x,y+1/2,-z'
'y+3/4,-x+3/4,z+1/4'
'-y+3/4,x+3/4,-z+1/4'
'x+1/2,-y+1/2,-z+1/2'
'-x+1/2,y+1/2,z+1/2'
'-y+3/4,-x+3/4,-z+1/4'
'y+3/4,x+3/4,z+1/4'
'-x,y+1/2,-z'
'x,-y+1/2,z'
'y+3/4,x+1/4,-z+3/4'
'-y+3/4,-x+1/4,z+3/4'
loop_
_atom_site_label
_atom_site_fract_x
_atom_site_fract_y
_atom_site_fract_z
Mn1 0.000 0.250 0.375
Cr1 0.000 0.250 0.797



(8)
# GGA-PBE Mn5Cr, optimized geometry
# * mass density: 7.1 Mg/m³
data_Mn5Cr
_chemical_formula_sum 'Mn5 Cr1'
_symmetry_space_group_name_H-M 'P 6/m m m'
_symmetry_Int_Tables_number 191
_symmetry_space_group_name_Hall '-P 6 2'
_cell_length_a 4.4128
_cell_length_b 4.4128
_cell_length_c 4.5401
_cell_angle_alpha 90.00
_cell_angle_beta 90.00
_cell_angle_gamma 120.00
loop_
_atom_site_label
_atom_site_fract_x
_atom_site_fract_y
_atom_site_fract_z
Mn1 0.0000 0.0000 0.0000
Mn2 0.3333 0.6667 0.0000
Mn3 0.3333 0.6667 0.5000
Cr1 0.0000 0.0000 0.5000



no.,formation enthalpy at 0 K (eV per formula unit),total moment (μB/f.u.)
1,1.13,0.00
2,1.15,0.00
3,0.11,0.00
4,0.22,0.01
5,1.25,0.89
6,1.02,0.00
7,1.27,0.02
8,3.30,0.23